1.
Here is a relaxed Dy6Si3O crystal from the Alexandria database. Energies are from PBE.

a = 11.100 Å, b = 13.762 Å, c = 6.716 Å
α = 90.00°, β = 90.00°, γ = 90.00°
Space group Cmc2_1 (No. 36)
Asymmetric unit:
Dy  0.000  0.048  0.000 [4 per cell]
Dy  0.000  0.225  0.543 [4 per cell]
Dy  0.157  0.267  0.031 [8 per cell]
Dy  0.162  0.473  0.545 [8 per cell]
Si  0.000  0.388  0.258 [4 per cell]
Si  0.173  0.108  0.317 [8 per cell]
O  0.000  0.199  0.870 [4 per cell]

Values from the calculation:
- Total energy: -0.21570 hartree per atom
- Total moment: 0.0 μB/f.u.

=====

2.
Here is a relaxed Dy12Si3O5 crystal from the Alexandria database. Energies are from PBE.

a = 15.154 Å, b = 15.154 Å, c = 15.154 Å
α = 90.00°, β = 90.00°, γ = 90.00°
Space group Ia-3d (No. 230)
Asymmetric unit:
Dy  0.036  0.054  0.650 [96 per cell]
Si  0.000  0.250  0.125 [24 per cell]
O  0.000  0.000  0.000 [16 per cell]
O  0.000  0.250  0.375 [24 per cell]

Values from the calculation:
- Total energy: -0.23716 hartree per atom
- Total moment: 0.0 μB/f.u.